Density functional theory data (PBE) for a relaxed structure of SbSe3S8.

Lattice parameters (Å, degrees): 8.310 7.824 10.416 59.36 98.57 125.25
Element x y z (fractional)
S 0.716 0.958 0.655
S 0.598 0.525 0.451
S 0.430 0.950 0.057
S 0.906 0.908 0.599
S 0.758 0.486 0.349
S 0.129 0.460 0.898
S 0.003 0.398 0.088
S 0.335 0.092 0.121
Sb 0.077 0.080 0.963
Se 0.712 0.518 0.660
Se 0.587 0.082 0.452
Se 0.249 0.542 0.207

Summary:
* crystal system: triclinic
* space-group type: P1
* uncorrected formation energy: 0.09 eV/atom
* magnetic moment: 0.08 μB per atom
* raw total energy: -3.877 eV/atom
* volume: 38.8 A^3/atom